VSn2I after structural relaxation, computed with GGA-PBE.

The size of the total moment is 15.21 μB per cell. As for the final energy: -3.95 eV/atom. Its uncorrected formation energy is 278 kJ/mol of formula units. Its density of states at the Fermi level is 1.8363 states/eV/atom. Its calculated density is 6.42 g cm⁻³.

It has space group Fm-3m (No. 225), with a = 7.544 Å, b = 7.544 Å, c = 7.544 Å, α = 90.00°, β = 90.00° and γ = 90.00°. Symmetry generates all atoms from V at (0.000, 0.000, 0.000), Sn at (0.250, 0.250, 0.250) and I at (0.000, 0.000, 0.500).

=====

VSn2I after structural relaxation, computed with GGA-PBE.

The size of the total moment is 8.72 μB per cell. As for the final energy: -4.02 eV/atom. Its uncorrected formation energy is 250 kJ/mol of formula units. Its density of states at the Fermi level is 1.1650 states/eV/atom. Its calculated density is 4.99 g cm⁻³.

It has space group I-42d (No. 122), with a = 5.555 Å, b = 5.555 Å, c = 17.900 Å, α = 90.00°, β = 90.00° and γ = 90.00°. Symmetry generates all atoms from V at (0.000, 0.000, 0.000), Sn at (0.117, 0.250, 0.125) and I at (0.000, 0.000, 0.500).

=====

VSn2I2 after structural relaxation, computed with GGA-PBE.

The size of the total moment is 6.34 μB per cell. As for the final energy: -3.66 eV/atom. Its uncorrected formation energy is 185 kJ/mol of formula units. Its density of states at the Fermi level is 0.8870 states/eV/atom. Its calculated density is 4.94 g cm⁻³.

It has space group I4/mmm (No. 139), with a = 3.978 Å, b = 3.978 Å, c = 23.014 Å, α = 90.00°, β = 90.00° and γ = 90.00°. Symmetry generates all atoms from V at (0.000, 0.000, 0.000), Sn at (0.000, 0.500, 0.250) and I at (0.000, 0.000, 0.425).

=====

VSnI6 after structural relaxation, computed with GGA-PBE.

The size of the total moment is 2.24 μB per cell. As for the final energy: -3.16 eV/atom. Its uncorrected formation energy is -276 kJ/mol of formula units. Its density of states at the Fermi level is 0.8224 states/eV/atom. Its calculated density is 4.66 g cm⁻³.

It has space group C2/m (No. 12), with a = 7.276 Å, b = 13.237 Å, c = 7.260 Å, α = 90.00°, β = 108.55° and γ = 90.00°. Symmetry generates all atoms from V at (0.000, 0.000, 0.000), Sn at (0.000, 0.500, 0.500), I at (0.226, 0.149, 0.226) and I at (0.233, 0.000, 0.765).

=====

VSn3I after structural relaxation, computed with GGA-PBE.

The size of the total moment is 1.82 μB per cell. As for the final energy: -4.38 eV/atom. Its uncorrected formation energy is 75 kJ/mol of formula units. Its density of states at the Fermi level is 0.6666 states/eV/atom. Its calculated density is 5.98 g cm⁻³.

It has space group Pm-3m (No. 221), with a = 5.292 Å, b = 5.292 Å, c = 5.292 Å, α = 90.00°, β = 90.00° and γ = 90.00°. Symmetry generates all atoms from V at (0.000, 0.000, 0.000), Sn at (0.000, 0.000, 0.500) and I at (0.500, 0.500, 0.500).

=====

VSn2I2 after structural relaxation, computed with GGA-PBE.

The size of the total moment is 6.29 μB per cell. As for the final energy: -3.75 eV/atom. Its uncorrected formation energy is 141 kJ/mol of formula units. Its density of states at the Fermi level is 0.9552 states/eV/atom. Its calculated density is 5.32 g cm⁻³.

It has space group P4/mbm (No. 127), with a = 7.272 Å, b = 7.272 Å, c = 6.400 Å, α = 90.00°, β = 90.00° and γ = 90.00°. Symmetry generates all atoms from V at (0.000, 0.000, 0.000), Sn at (0.227, 0.273, 0.500) and I at (0.173, 0.327, 0.000).

=====

Question: Which formula does entry 3 have?
Answer: VSn2I2

=====

Question: Look up the final energy of the first one.
Answer: -3.95 eV/atom

=====

Question: What is the formula in the second record?
Answer: VSn2I